The following is a PBE-GGA calculation of crystalline ErGaSi2 at its relaxed geometry, from the Alexandria database.

Structure (CIF):
```
data_ErGaSi2
_cell_length_a 4.3235
_cell_length_b 4.3235
_cell_length_c 14.1848
_cell_angle_alpha 90.00
_cell_angle_beta 90.00
_cell_angle_gamma 120.00
_symmetry_space_group_name_H-M 'R -3 m'
_symmetry_Int_Tables_number 166
_symmetry_space_group_name_Hall '-R 3 2"'
loop_
_atom_site_label
_atom_site_fract_x
_atom_site_fract_y
_atom_site_fract_z
Er1 0.0000 0.0000 0.0000
Ga1 0.0000 0.0000 0.5000
Si1 0.0000 0.0000 0.2112
```

Output
formation energy from raw total energies	-188	meV per atom
E above lowest polymorph	0.469	eV/f.u.
energy	-4.796	eV per atom